Below is Ca2MgRePb after structural relaxation, with properties calculated at the PBE-GGA level.

The structure in POSCAR format:
```
Ca2MgRePb
1.0
-0.177 5.401 1.450
-1.157 -1.259 4.550
5.431 -0.180 1.332
Pb Re Ca Mg
1 1 2 1
direct
0.500 0.500 0.500
0.000 0.500 0.000
0.000 0.000 0.500
0.500 0.000 0.000
0.000 0.000 0.000
```

Calculated values
magnetic moment: 0.411 μB per atom
electronic total energy: -3.41 eV/atom
formation energy from the elements: 91.0 kJ per mole of atoms
calculated density: 5.43 g/cm³
symmetry: P4/mmm (123)